[1]
Computed, not measured: a relaxed Ho12Al3In5 crystal at the PBE-GGA level of DFT.

Space group: Ia-3d
E_form in eV per atom: 0.2674
Calculated volume in Å³/cell: 2746.72
Total moment in μB per atom: 0.000
Density of states at the Fermi level in states/eV/f.u.: 29.4

a = 15.281 Å, b = 15.281 Å, c = 15.281 Å
α = 109.47°, β = 109.47°, γ = 109.47°
Sites, in units of the cell vectors:
Al: 0.250 0.125 0.375
In: 0.000 0.000 0.500
Ho: 0.936 0.572 0.162
In: 0.750 0.625 0.375
In: 0.000 0.000 0.000
Ho: 0.864 0.590 0.928
Ho: 0.910 0.072 0.636
Ho: 0.090 0.162 0.226
Ho: 0.572 0.636 0.410
Ho: 0.136 0.410 0.072
Al: 0.375 0.625 0.250
Al: 0.750 0.375 0.125
Ho: 0.338 0.774 0.410
In: 0.500 0.000 0.500
Ho: 0.226 0.662 0.090
Ho: 0.274 0.864 0.936
Al: 0.875 0.125 0.250
In: 0.625 0.750 0.875
Ho: 0.072 0.162 0.436
Al: 0.375 0.750 0.625
Ho: 0.436 0.662 0.072
Ho: 0.364 0.936 0.774
In: 0.750 0.125 0.875
In: 0.000 0.500 0.500
Ho: 0.436 0.774 0.864
Ho: 0.590 0.864 0.428
In: 0.625 0.875 0.250
In: 0.500 0.000 0.000
Ho: 0.838 0.928 0.064
In: 0.125 0.750 0.375
In: 0.500 0.500 0.500
Ho: 0.662 0.436 0.572
Al: 0.625 0.375 0.750
Ho: 0.064 0.636 0.726
Ho: 0.564 0.226 0.136
In: 0.500 0.500 0.000
Ho: 0.364 0.428 0.090
Al: 0.125 0.875 0.750
In: 0.250 0.875 0.125
Ho: 0.162 0.090 0.726
Ho: 0.136 0.726 0.564
Al: 0.125 0.250 0.875
Ho: 0.726 0.590 0.162
Ho: 0.774 0.338 0.910
Al: 0.875 0.750 0.125
Ho: 0.572 0.936 0.662
Ho: 0.162 0.072 0.936
Ho: 0.072 0.910 0.136
Ho: 0.564 0.338 0.928
Ho: 0.774 0.436 0.364
Ho: 0.928 0.090 0.864
In: 0.375 0.125 0.750
Ho: 0.274 0.410 0.838
Ho: 0.428 0.064 0.338
Ho: 0.662 0.226 0.590
Ho: 0.226 0.564 0.636
Al: 0.750 0.875 0.625
Al: 0.625 0.250 0.375
Ho: 0.726 0.136 0.064
Ho: 0.864 0.274 0.436
Ho: 0.090 0.928 0.364
Ho: 0.838 0.910 0.274
Ho: 0.428 0.364 0.590
Al: 0.250 0.625 0.875
Ho: 0.410 0.274 0.338
In: 0.875 0.625 0.750
In: 0.000 0.500 0.000
Ho: 0.928 0.838 0.564
In: 0.250 0.375 0.625
Ho: 0.064 0.428 0.838
Ho: 0.936 0.364 0.274
Ho: 0.590 0.726 0.662
Ho: 0.410 0.136 0.572
Ho: 0.636 0.572 0.910
Ho: 0.338 0.564 0.428
In: 0.125 0.375 0.250
Ho: 0.910 0.838 0.774
In: 0.875 0.250 0.625
In: 0.375 0.250 0.125
Ho: 0.636 0.064 0.226

---

[2]
Computed, not measured: a relaxed Ho3Al2In3 crystal at the PBE-GGA level of DFT.

Space group: Cmcm
E_form in eV per atom: -0.4115
Calculated volume in Å³/cell: 390.43
Total moment in μB per atom: 0.000
Density of states at the Fermi level in states/eV/f.u.: 6.6

a = 4.528 Å, b = 6.034 Å, c = 15.418 Å
α = 90.00°, β = 90.00°, γ = 112.03°
Sites, in units of the cell vectors:
Ho: 0.654 0.308 0.250
Ho: 0.928 0.855 0.113
In: 0.377 0.753 0.250
Ho: 0.072 0.145 0.887
Al: 0.785 0.571 0.614
In: 0.375 0.750 0.537
Ho: 0.346 0.692 0.750
In: 0.623 0.247 0.750
In: 0.625 0.250 0.037
Al: 0.215 0.429 0.386
Al: 0.785 0.571 0.886
Al: 0.215 0.429 0.114
In: 0.625 0.250 0.463
Ho: 0.072 0.145 0.613
In: 0.375 0.750 0.963
Ho: 0.928 0.855 0.387

---

[3]
Computed, not measured: a relaxed Ho12Al3In crystal at the PBE-GGA level of DFT.

Space group: P4/mmm
E_form in eV per atom: -0.2089
Calculated volume in Å³/cell: 430.71
Total moment in μB per atom: 0.000
Density of states at the Fermi level in states/eV/f.u.: 20.8

a = 4.755 Å, b = 4.755 Å, c = 19.046 Å
α = 90.00°, β = 90.00°, γ = 90.00°
Sites, in units of the cell vectors:
Ho: 0.000 0.500 0.376
Al: 0.000 0.000 0.252
Al: 0.000 0.000 0.748
Al: 0.000 0.000 0.500
Ho: 0.000 0.500 0.624
Ho: 0.500 0.500 0.252
Ho: 0.500 0.500 0.748
Ho: 0.500 0.000 0.624
Ho: 0.500 0.000 0.129
Ho: 0.000 0.500 0.871
Ho: 0.500 0.500 0.500
Ho: 0.500 0.000 0.871
In: 0.000 0.000 0.000
Ho: 0.000 0.500 0.129
Ho: 0.500 0.000 0.376
Ho: 0.500 0.500 0.000

---

[4]
Computed, not measured: a relaxed HoAl4In crystal at the PBE-GGA level of DFT.

Space group: F-43m
E_form in eV per atom: -0.1803
Calculated volume in Å³/cell: 121.17
Total moment in μB per atom: 0.000
Density of states at the Fermi level in states/eV/f.u.: 4.7

a = 5.554 Å, b = 5.554 Å, c = 5.554 Å
α = 60.00°, β = 60.00°, γ = 60.00°
Sites, in units of the cell vectors:
Ho: 0.250 0.250 0.250
Al: 0.624 0.624 0.624
Al: 0.624 0.127 0.624
Al: 0.127 0.624 0.624
Al: 0.624 0.624 0.127
In: 0.000 0.000 0.000